DFT (PBE) results for a relaxed structure of BaSc2Tc.

Magnetization, μB per cell: 0.0
DFT formation energy, meV per atom: 275
Crystal system: orthorhombic
Space group: Amm2, No. 38
Energy above the lowest structure with this stoichiometry, meV per atom: 231
E, eV for the cell shown: -23.85

a = 4.7232 Å, b = 3.6152 Å, c = 7.0863 Å
α = 75.24°, β = 90.00°, γ = 90.00°
With the nearest neighbours (Å) after each atom.
Sites, in units of the cell vectors:
Ba1 0.5000 0.7096 0.7049  3 Sc 3.52-3.83, 4 Tc 3.60, 2 Ba 3.62
Sc1 0.0000 0.0016 0.1221  2 Tc 2.67
Sc2 0.5000 0.4305 0.2645  2 Tc 2.56
Tc1 0.0000 0.3583 0.4086  4 Sc 2.56-2.67